# 1
# PBE-GGA Zr2CdInN, optimized geometry
data_Zr2CdInN
_cell_length_a 5.313
_cell_length_b 5.313
_cell_length_c 4.973
_cell_angle_alpha 90.00
_cell_angle_beta 90.00
_cell_angle_gamma 90.00
_space_group_name_H-M_alt 'P 4/m m m'
_space_group_IT_number 123
_space_group_name_Hall '-P 4 2'
loop_
_atom_site_label
_atom_site_type_symbol
_atom_site_fract_x
_atom_site_fract_y
_atom_site_fract_z
_atom_site_occupancy
Zr1 Zr 0.000 0.500 0.000 1
Cd1 Cd 0.000 0.000 0.000 1
In1 In 0.000 0.000 0.500 1
N1 N 0.500 0.500 0.500 1
# Raw formation energy = 1956 meV per atom
# Size of the total moment = 0.2 μB per cell



# 2
# PBE-GGA ZrCdMo2, optimized geometry
data_ZrCdMo2
_cell_length_a 9.771
_cell_length_b 2.755
_cell_length_c 5.488
_cell_angle_alpha 90.00
_cell_angle_beta 93.36
_cell_angle_gamma 90.00
_space_group_name_H-M_alt 'C 1 m 1'
_space_group_IT_number 8
loop_
_space_group_symop_operation_xyz
'x,y,z'
'x,-y,z'
'x+1/2,y+1/2,z'
'x+1/2,-y+1/2,z'
loop_
_atom_site_label
_atom_site_type_symbol
_atom_site_fract_x
_atom_site_fract_y
_atom_site_fract_z
_atom_site_occupancy
Zr1 Zr 0.000 0.000 0.000 1
Cd1 Cd 0.254 0.000 0.746 1
Mo1 Mo 0.014 0.500 0.486 1
Mo2 Mo 0.255 0.500 0.265 1
# ΔE_f = 0.346 eV per atom
# Size of the total moment = 0.0 μB per cell



# 3
# PBE-GGA K2AcCeS4, optimized geometry
data_K2AcCeS4
_cell_length_a 7.508
_cell_length_b 4.334
_cell_length_c 7.798
_cell_angle_alpha 90.00
_cell_angle_beta 108.70
_cell_angle_gamma 90.00
_space_group_name_H-M_alt 'P 1 2/m 1'
_space_group_IT_number 10
loop_
_space_group_symop_operation_xyz
'x,y,z'
'-x,-y,-z'
'-x,y,-z'
'x,-y,z'
loop_
_atom_site_label
_atom_site_type_symbol
_atom_site_fract_x
_atom_site_fract_y
_atom_site_fract_z
_atom_site_occupancy
K1 K 0.000 0.000 0.000 1
K2 K 0.500 0.500 0.000 1
Ac1 Ac 0.000 0.500 0.500 1
Ce1 Ce 0.500 0.000 0.500 1
S1 S 0.247 0.000 0.712 1
S2 S 0.274 0.500 0.293 1
# Raw formation energy = -1834 meV per atom
# Size of the total moment = 1.0 μB per cell



# 4
# PBE-GGA Pr6Pd5Pt, optimized geometry
data_Pr6Pd5Pt
_cell_length_a 7.351
_cell_length_b 12.739
_cell_length_c 7.331
_cell_angle_alpha 90.00
_cell_angle_beta 109.60
_cell_angle_gamma 90.00
_space_group_name_H-M_alt 'C 1 2/m 1'
_space_group_IT_number 12
loop_
_space_group_symop_operation_xyz
'x,y,z'
'-x,-y,-z'
'-x,y,-z'
'x,-y,z'
'x+1/2,y+1/2,z'
'-x+1/2,-y+1/2,-z'
'-x+1/2,y+1/2,-z'
'x+1/2,-y+1/2,z'
loop_
_atom_site_label
_atom_site_type_symbol
_atom_site_fract_x
_atom_site_fract_y
_atom_site_fract_z
_atom_site_occupancy
Pr1 Pr 0.247 0.000 0.251 1
Pr2 Pr 0.248 0.165 0.748 1
Pd1 Pd 0.000 0.168 0.000 1
Pd2 Pd 0.000 0.334 0.500 1
Pd3 Pd 0.000 0.500 0.000 1
Pt1 Pt 0.000 0.000 0.500 1
# ΔE_f = -0.724 eV per atom
# Size of the total moment = 0.0 μB per cell



# 5
# PBE-GGA TiB3Te, optimized geometry
data_TiB3Te
_cell_length_a 4.268
_cell_length_b 4.268
_cell_length_c 4.268
_cell_angle_alpha 90.00
_cell_angle_beta 90.00
_cell_angle_gamma 90.00
_space_group_name_H-M_alt 'P m -3 m'
_space_group_IT_number 221
_space_group_name_Hall '-P 4 2 3'
loop_
_atom_site_label
_atom_site_type_symbol
_atom_site_fract_x
_atom_site_fract_y
_atom_site_fract_z
_atom_site_occupancy
Ti1 Ti 0.000 0.000 0.000 1
B1 B 0.000 0.000 0.500 1
Te1 Te 0.500 0.500 0.500 1
# Raw formation energy = 1579 meV per atom
# Excess energy over the best structure of this formula in the dataset = 0.000 eV per atom
# Size of the total moment = 0.0 μB per cell



# 6
# PBE-GGA ScCd2Ge2, optimized geometry
data_ScCd2Ge2
_cell_length_a 7.957
_cell_length_b 7.957
_cell_length_c 3.367
_cell_angle_alpha 90.00
_cell_angle_beta 90.00
_cell_angle_gamma 90.00
_space_group_name_H-M_alt 'P 4/m b m'
_space_group_IT_number 127
_space_group_name_Hall '-P 4 2ab'
loop_
_atom_site_label
_atom_site_type_symbol
_atom_site_fract_x
_atom_site_fract_y
_atom_site_fract_z
_atom_site_occupancy
Sc1 Sc 0.000 0.000 0.000 1
Cd1 Cd 0.125 0.375 0.000 1
Ge1 Ge 0.179 0.679 0.500 1
# Excess energy over the best structure of this formula in the dataset = 0.136 eV per atom
# ΔE_f = 0.043 eV per atom
# Size of the total moment = 0.0 μB per cell